DFT (PBE-GGA) results for crystalline Ho2Pa2O5 at its relaxed geometry.

Output
* distance to the lowest polymorph of the same formula: 0.000 eV/f.u.
* symmetry: P4/mmm

Cell lengths 4.2161, 4.2161, 9.0105 Å; angles 90.00, 90.00, 90.00 degrees
Sites, in units of the cell vectors:
Ho: 0.0000 0.0000 0.0000
Ho: 0.0000 0.0000 0.5000
Pa: 0.5000 0.5000 0.2474
Pa: 0.5000 0.5000 0.7526
O: 0.0000 0.5000 0.1700
O: 0.0000 0.5000 0.8300
O: 0.5000 0.0000 0.1700
O: 0.5000 0.0000 0.8300
O: 0.5000 0.5000 0.0000

***

DFT (PBE-GGA) results for crystalline HoPaO4 at its relaxed geometry.

Output
* symmetry: I4_1/amd

Cell lengths 6.5703, 6.5703, 6.5703 Å; angles 131.78, 131.78, 70.57 degrees
Sites, in units of the cell vectors:
Ho: 0.3750 0.6250 0.7500
Ho: 0.6250 0.3750 0.2500
Pa: 0.1250 0.8750 0.2500
Pa: 0.8750 0.1250 0.7500
O: 0.0000 0.2439 0.2439
O: 0.0000 0.7561 0.7561
O: 0.2439 0.0000 0.7439
O: 0.2439 0.5000 0.2439
O: 0.5000 0.2439 0.7439
O: 0.5000 0.7561 0.2561
O: 0.7561 0.0000 0.2561
O: 0.7561 0.5000 0.7561

***

| no. | DFT total energy (eV/atom) |
| --- | --- |
| 1 | -7.980 |
| 2 | -9.013 |